No. 1
## TmTl2Te2O6 (PBE)

Data for crystalline TmTl2Te2O6 at its relaxed geometry.

For the energy relative to the elements, uncorrected, the calculation gives -15.1 eV/f.u. Its space-group type is No. 12. As for the crystal system: monoclinic.

Cell: 6.988 6.028 6.491 Å, 106.99 90.00 125.42°
Element x y z (fractional)
Tm 0.500 0.000 0.500
Tl 0.685 0.370 0.111
Tl 0.315 0.630 0.889
Te 0.947 0.895 0.744
Te 0.053 0.105 0.256
O 0.745 0.491 0.688
O 0.321 0.065 0.266
O 0.256 0.935 0.734
O 0.679 0.935 0.734
O 0.744 0.065 0.266
O 0.255 0.509 0.312

---

No. 2
## Sm2LuAl (PBE)

Data for crystalline Sm2LuAl at its relaxed geometry.

Its space-group type is No. 225. For the formation energy, the calculation gives -0.08 eV/atom. The energy above the lowest structure with this stoichiometry comes out at 0.094 eV per atom. As for the crystal system: cubic.

Cell: 5.380 5.380 5.380 Å, 60.00 60.00 60.00°
Element x y z (fractional)
Lu 0.000 0.000 0.000
Al 0.500 0.500 0.500
Sm 0.250 0.250 0.250
Sm 0.750 0.750 0.750

---

No. 3
## Ho5Tl2Si2 (PBE)

Data for crystalline Ho5Tl2Si2 at its relaxed geometry.

For the energy relative to the elements, uncorrected, the calculation gives -4.9 eV/f.u. Its space-group type is No. 64. As for the crystal system: orthorhombic.

Cell: 7.613 7.634 8.764 Å, 90.00 64.26 90.00°
Element x y z (fractional)
Ho 0.000 0.000 0.000
Ho 0.500 0.500 0.000
Ho 0.442 0.177 0.753
Ho 0.805 0.823 0.753
Ho 0.305 0.677 0.753
Ho 0.942 0.323 0.753
Ho 0.558 0.823 0.247
Ho 0.195 0.177 0.247
Ho 0.695 0.323 0.247
Ho 0.058 0.677 0.247
Tl 0.221 0.000 0.558
Tl 0.721 0.500 0.558
Tl 0.779 0.000 0.442
Tl 0.279 0.500 0.442
Si 0.120 0.378 0.000
Si 0.880 0.622 0.000
Si 0.380 0.878 0.000
Si 0.620 0.122 0.000

---

No. 4
## DyErMgAu (PBE)

Data for crystalline DyErMgAu at its relaxed geometry.

Its space-group type is No. 216. For the formation energy, the calculation gives -0.41 eV/atom. The energy above the lowest structure with this stoichiometry comes out at 0.058 eV per atom. As for the crystal system: cubic.

Cell: 5.170 5.170 5.170 Å, 60.00 60.00 60.00°
Element x y z (fractional)
Mg 0.500 0.500 0.500
Dy 0.750 0.750 0.750
Au 0.000 0.000 0.000
Er 0.250 0.250 0.250

---

No. 5
## Te2MoN (PBE)

Data for crystalline Te2MoN at its relaxed geometry.

For the energy relative to the elements, uncorrected, the calculation gives 2.7 eV/f.u. Its space-group type is No. 11. As for the crystal system: monoclinic.

Cell: 3.254 6.587 7.273 Å, 103.51 90.00 90.00°
Element x y z (fractional)
Te 0.778 0.601 0.340
Te 0.278 0.079 0.246
Te 0.278 0.585 0.764
Te 0.778 0.107 0.857
Mo 0.278 0.904 0.561
Mo 0.778 0.282 0.542
N 0.778 0.920 0.060
N 0.278 0.266 0.044

---

No. 6
## TbNd10Tm4 (PBE)

Data for crystalline TbNd10Tm4 at its relaxed geometry.

Its space-group type is No. 87. For the formation energy, the calculation gives 0.43 eV/atom. As for the crystal system: tetragonal.

Cell: 10.811 8.906 8.906 Å, 68.38 52.63 52.63°
Element x y z (fractional)
Tb 0.000 0.000 0.000
Nd 0.250 0.500 0.500
Nd 0.713 0.347 0.893
Nd 0.941 0.107 0.347
Nd 0.394 0.893 0.653
Nd 0.953 0.653 0.107
Nd 0.287 0.653 0.107
Nd 0.750 0.500 0.500
Nd 0.047 0.347 0.893
Nd 0.606 0.107 0.347
Nd 0.059 0.893 0.653
Tm 0.554 0.669 0.222
Tm 0.776 0.778 0.669
Tm 0.224 0.222 0.331
Tm 0.446 0.331 0.778

---

No. 7
## SiRh3 (PBE)

Data for crystalline SiRh3 at its relaxed geometry.

For the energy relative to the elements, uncorrected, the calculation gives -1.4 eV/f.u. Its space-group type is No. 63. As for the crystal system: orthorhombic.

Cell: 5.454 5.454 4.279 Å, 90.00 90.00 120.63°
Element x y z (fractional)
Si 0.660 0.340 0.250
Si 0.340 0.660 0.750
Rh 0.179 0.821 0.250
Rh 0.821 0.179 0.750
Rh 0.673 0.831 0.250
Rh 0.327 0.169 0.750
Rh 0.831 0.673 0.750
Rh 0.169 0.327 0.250

---

No. 8
## TmNpN3 (PBE)

Data for crystalline TmNpN3 at its relaxed geometry.

For the energy relative to the elements, uncorrected, the calculation gives -5.9 eV/f.u. Its space-group type is No. 198. As for the crystal system: cubic.

Cell: 6.601 6.601 6.601 Å, 90.00 90.00 90.00°
Site moments in Bohr magnetons follow the coordinates.
Element x y z (fractional)
Tm 0.877 0.877 0.877  0.00
Tm 0.623 0.123 0.377  0.00
Tm 0.377 0.623 0.123  0.00
Tm 0.123 0.377 0.623  0.00
Np 0.095 0.905 0.405  1.24
Np 0.405 0.095 0.905  1.24
Np 0.595 0.595 0.595  1.24
Np 0.905 0.405 0.095  1.24
N 0.977 0.212 0.355  -0.07
N 0.145 0.023 0.712  -0.07
N 0.212 0.355 0.977  -0.07
N 0.288 0.645 0.477  -0.07
N 0.355 0.977 0.212  -0.07
N 0.523 0.788 0.855  -0.07
N 0.477 0.288 0.645  -0.07
N 0.645 0.477 0.288  -0.07
N 0.712 0.145 0.023  -0.07
N 0.788 0.855 0.523  -0.07
N 0.855 0.523 0.788  -0.07
N 0.023 0.712 0.145  -0.07

---

No. 9
## Tm3Ga6Pd5 (PBE)

Data for crystalline Tm3Ga6Pd5 at its relaxed geometry.

Its space-group type is No. 59. For the formation energy, the calculation gives -0.80 eV/atom. As for the crystal system: orthorhombic.

Cell: 4.279 9.271 12.676 Å, 90.00 90.00 90.00°
Element x y z (fractional)
Tm 0.000 0.249 0.700
Tm 0.500 0.751 0.200
Tm 0.500 0.751 0.800
Tm 0.000 0.255 0.000
Tm 0.500 0.745 0.500
Tm 0.000 0.249 0.300
Ga 0.000 0.978 0.847
Ga 0.500 0.022 0.653
Ga 0.500 0.408 0.821
Ga 0.500 0.583 0.000
Ga 0.000 0.417 0.500
Ga 0.000 0.592 0.679
Ga 0.000 0.592 0.321
Ga 0.500 0.956 0.000
Ga 0.000 0.978 0.153
Ga 0.500 0.408 0.179
Ga 0.000 0.044 0.500
Ga 0.500 0.022 0.347
Pd 0.000 0.532 0.883
Pd 0.000 0.865 0.655
Pd 0.000 0.789 0.000
Pd 0.500 0.468 0.617
Pd 0.500 0.211 0.500
Pd 0.000 0.532 0.117
Pd 0.500 0.468 0.383
Pd 0.000 0.865 0.345
Pd 0.500 0.135 0.845
Pd 0.500 0.135 0.155

---

No. 10
## NaSeS4 (PBE)

Data for crystalline NaSeS4 at its relaxed geometry.

For the energy relative to the elements, uncorrected, the calculation gives -0.8 eV/f.u. Its space-group type is No. 1. As for the crystal system: triclinic.

Cell: 5.506 5.653 5.873 Å, 97.37 93.00 65.09°
Element x y z (fractional)
Na 0.560 0.127 0.994
Se 0.995 0.462 0.504
S 0.280 0.021 0.532
S 0.657 0.988 0.480
S 0.002 0.607 0.919
S 0.994 0.312 0.078

---

No. 11
## Zr2ZnSe (PBE)

Data for crystalline Zr2ZnSe at its relaxed geometry.

For the energy relative to the elements, uncorrected, the calculation gives -2.2 eV/f.u. Its space-group type is No. 65. The energy above the lowest structure with this stoichiometry comes out at 0.144 eV per atom. As for the crystal system: orthorhombic.

Cell: 4.847 4.847 3.302 Å, 90.00 90.00 101.07°
Element x y z (fractional)
Se 0.500 0.000 0.500
Zn 0.000 0.500 0.500
Zr 0.000 0.000 0.000
Zr 0.500 0.500 0.000

---

No. 12
## Al2CdBr (PBE)

Data for crystalline Al2CdBr at its relaxed geometry.

For the energy relative to the elements, uncorrected, the calculation gives 1.2 eV/f.u. Its space-group type is No. 122. The energy above the lowest structure with this stoichiometry comes out at 0.247 eV per atom. As for the crystal system: tetragonal.

Cell: 6.338 6.338 7.813 Å, 66.07 66.07 90.00°
Element x y z (fractional)
Al 0.649 0.125 0.250
Al 0.101 0.625 0.250
Al 0.375 0.351 0.750
Al 0.875 0.899 0.750
Br 0.500 0.500 0.000
Br 0.250 0.750 0.500
Cd 0.000 0.000 0.000
Cd 0.750 0.250 0.500

---

No. 13
## ScAl2Si (PBE)

Data for crystalline ScAl2Si at its relaxed geometry.

For the energy relative to the elements, uncorrected, the calculation gives -1.2 eV/f.u. Its space-group type is No. 25. As for the crystal system: orthorhombic.

Cell: 4.462 2.944 5.316 Å, 89.96 90.00 90.00°
Element x y z (fractional)
Sc 0.000 0.500 0.509
Si 0.500 0.000 0.736
Al 0.000 0.999 0.998
Al 0.500 0.001 0.257

---

No. 14
## Dy4Tl3Zn (PBE)

Data for crystalline Dy4Tl3Zn at its relaxed geometry.

Its space-group type is No. 123. For the formation energy, the calculation gives -0.35 eV/atom. The energy above the lowest structure with this stoichiometry comes out at 0.000 eV per atom. As for the crystal system: tetragonal.

Cell: 3.650 3.650 15.682 Å, 90.00 90.00 90.00°
Element x y z (fractional)
Tl 0.500 0.500 0.237
Tl 0.500 0.500 0.500
Tl 0.500 0.500 0.763
Zn 0.500 0.500 0.000
Dy 0.000 0.000 0.891
Dy 0.000 0.000 0.109
Dy 0.000 0.000 0.369
Dy 0.000 0.000 0.631

---

No. 15
## InFeAs2 (PBE)

Data for crystalline InFeAs2 at its relaxed geometry.

Its space-group type is No. 123. For the formation energy, the calculation gives 0.02 eV/atom. As for the crystal system: tetragonal.

Cell: 2.962 2.962 8.750 Å, 90.00 90.00 90.00°
Site moments in Bohr magnetons follow the coordinates.
Element x y z (fractional)
As 0.000 0.000 0.086  -0.03
As 0.000 0.000 0.414  -0.03
Fe 0.500 0.500 0.250  1.15
In 0.500 0.500 0.750  -0.01

---

No. 16
## NbTcTeN2 (PBE)

Data for crystalline NbTcTeN2 at its relaxed geometry.

For the energy relative to the elements, uncorrected, the calculation gives 4.5 eV/f.u. Its space-group type is No. 123. The energy above the lowest structure with this stoichiometry comes out at 0.045 eV per atom. As for the crystal system: tetragonal.

Cell: 3.925 3.925 5.612 Å, 90.00 90.00 90.00°
Site moments in Bohr magnetons follow the coordinates.
Element x y z (fractional)
Nb 0.500 0.500 0.500  1.91
Te 0.000 0.000 0.500  -0.04
Tc 0.000 0.000 0.000  0.17
N 0.000 0.500 0.000  -0.13
N 0.500 0.000 0.000  -0.13

---

No. 17
## CaCoPt3 (PBE)

Data for crystalline CaCoPt3 at its relaxed geometry.

Its space-group type is No. 221. For the formation energy, the calculation gives 1.63 eV/atom. The energy above the lowest structure with this stoichiometry comes out at 1.554 eV per atom. As for the crystal system: cubic.

Cell: 4.891 4.891 4.891 Å, 90.00 90.00 90.00°
Site moments in Bohr magnetons follow the coordinates.
Element x y z (fractional)
Ca 0.000 0.000 0.000  -0.01
Co 0.500 0.500 0.500  2.27
Pt 0.000 0.500 0.000  0.02
Pt 0.000 0.000 0.500  0.05
Pt 0.500 0.000 0.000  0.09

---

No. 18
## SmLuAgPt (PBE)

Data for crystalline SmLuAgPt at its relaxed geometry.

Its space-group type is No. 216. For the formation energy, the calculation gives -0.77 eV/atom. As for the crystal system: cubic.

Cell: 5.029 5.029 5.029 Å, 60.00 60.00 60.00°
Element x y z (fractional)
Ag 0.250 0.250 0.250
Lu 0.000 0.000 0.000
Sm 0.500 0.500 0.500
Pt 0.750 0.750 0.750

---

No. 19
## Nd2Ti2Ni15 (PBE)

Data for crystalline Nd2Ti2Ni15 at its relaxed geometry.

Its space-group type is No. 166. For the formation energy, the calculation gives -0.28 eV/atom. As for the crystal system: trigonal.

Cell: 6.380 6.380 6.380 Å, 82.33 82.33 82.33°
Site moments in Bohr magnetons follow the coordinates.
Element x y z (fractional)
Nd 0.349 0.349 0.349  -0.01
Nd 0.651 0.651 0.651  -0.01
Ti 0.101 0.101 0.101  -0.03
Ti 0.899 0.899 0.899  -0.03
Ni 0.500 0.000 0.000  0.04
Ni 0.000 0.000 0.500  0.04
Ni 0.000 0.500 0.000  0.04
Ni 0.000 0.706 0.294  0.06
Ni 0.706 0.294 0.000  0.06
Ni 0.294 0.000 0.706  0.06
Ni 0.294 0.706 0.000  0.06
Ni 0.706 0.000 0.294  0.06
Ni 0.000 0.294 0.706  0.06
Ni 0.152 0.658 0.658  0.04
Ni 0.658 0.658 0.152  0.04
Ni 0.658 0.152 0.658  0.04
Ni 0.848 0.342 0.342  0.04
Ni 0.342 0.342 0.848  0.04
Ni 0.342 0.848 0.342  0.04

---

No. 20
## Re2OsSe (PBE)

Data for crystalline Re2OsSe at its relaxed geometry.

For the energy relative to the elements, uncorrected, the calculation gives 4.1 eV/f.u. Its space-group type is No. 123. As for the crystal system: tetragonal.

Cell: 4.384 3.761 3.761 Å, 90.00 90.00 90.00°
Element x y z (fractional)
Os 0.500 0.000 0.500
Re 0.000 0.000 0.000
Re 0.000 0.500 0.500
Se 0.500 0.500 0.000

---

Values of theoretical density, in order: 7.42, 7.58, 9.34, 9.36, 8.00, 6.98, 10.21, 10.34, 9.62, 2.32, 7.13, 3.18, 3.02, 10.56, 6.93, 6.66, 9.71, 11.60, 8.29, 17.19, all in g/cm³.
Values of uncorrected energy, in order: -60.32, -18.03, -86.78, -15.69, -45.52, -63.70, -57.81, -193.15, -137.50, -22.15, -24.01, -17.79, -20.40, -29.59, -20.41, -35.76, -19.08, -21.19, -117.45, -35.55, all in eV per cell.